Entry from Alexandria: a geometry-optimized InPbW4 structure (PBE).

Output
energy of formation: 4.59 eV per formula unit

The structure in CIF format:
```
data_InPbW4
_chemical_formula_sum 'In4 Pb4 W16'
_cell_length_a 7.709
_cell_length_b 7.709
_cell_length_c 7.709
_cell_angle_alpha 90.00
_cell_angle_beta 90.00
_cell_angle_gamma 90.00
_symmetry_space_group_name_H-M 'F -4 3 m'
_symmetry_Int_Tables_number 216
_symmetry_space_group_name_Hall 'F -4 2 3'
loop_
_atom_site_label
_atom_site_type_symbol
_atom_site_fract_x
_atom_site_fract_y
_atom_site_fract_z
In1 In 0.000 0.000 0.000
Pb1 Pb 0.250 0.250 0.750
W1 W 0.126 0.126 0.374
```

=====

Entry from Alexandria: a geometry-optimized InPb2W structure (PBE).

Output
energy of formation: 3.73 eV per formula unit

The structure in CIF format:
```
data_InPb2W
_chemical_formula_sum 'In2 Pb4 W2'
_cell_length_a 6.301
_cell_length_b 11.288
_cell_length_c 3.099
_cell_angle_alpha 90.00
_cell_angle_beta 118.35
_cell_angle_gamma 90.00
_symmetry_space_group_name_H-M 'C 1 2/m 1'
_symmetry_Int_Tables_number 12
loop_
_symmetry_equiv_pos_as_xyz
'x,y,z'
'-x,-y,-z'
'-x,y,-z'
'x,-y,z'
'x+1/2,y+1/2,z'
'-x+1/2,-y+1/2,-z'
'-x+1/2,y+1/2,-z'
'x+1/2,-y+1/2,z'
loop_
_atom_site_label
_atom_site_type_symbol
_atom_site_fract_x
_atom_site_fract_y
_atom_site_fract_z
In1 In 0.000 0.000 0.000
Pb1 Pb 0.250 0.250 0.000
W1 W 0.000 0.500 0.000
```

=====

Entry from Alexandria: a geometry-optimized In2PbW structure (PBE).

Output
energy of formation: 3.28 eV per formula unit

The structure in CIF format:
```
data_In2PbW
_chemical_formula_sum 'In4 Pb2 W2'
_cell_length_a 4.367
_cell_length_b 4.367
_cell_length_c 9.313
_cell_angle_alpha 90.00
_cell_angle_beta 90.00
_cell_angle_gamma 90.00
_symmetry_space_group_name_H-M 'I 4/m m m'
_symmetry_Int_Tables_number 139
_symmetry_space_group_name_Hall '-I 4 2'
loop_
_atom_site_label
_atom_site_type_symbol
_atom_site_fract_x
_atom_site_fract_y
_atom_site_fract_z
In1 In 0.000 0.500 0.250
Pb1 Pb 0.000 0.000 0.000
W1 W 0.000 0.000 0.500
```

=====

Entry from Alexandria: a geometry-optimized In2PbW structure (PBE).

Output
energy of formation: 2.33 eV per formula unit

The structure in CIF format:
```
data_In2PbW
_chemical_formula_sum 'In2 Pb1 W1'
_cell_length_a 3.056
_cell_length_b 3.068
_cell_length_c 10.376
_cell_angle_alpha 90.00
_cell_angle_beta 90.00
_cell_angle_gamma 90.00
_symmetry_space_group_name_H-M 'P m m 2'
_symmetry_Int_Tables_number 25
loop_
_symmetry_equiv_pos_as_xyz
'x,y,z'
'-x,-y,z'
'-x,y,z'
'x,-y,z'
loop_
_atom_site_label
_atom_site_type_symbol
_atom_site_fract_x
_atom_site_fract_y
_atom_site_fract_z
In1 In 0.000 0.000 0.000
In2 In 0.500 0.500 0.258
Pb1 Pb 0.000 0.000 0.584
W1 W 0.500 0.500 0.801
```

=====

Q: Number 3 is which compound?
A: In2PbW